No. 1
The following is a DFT calculation (PBE-GGA) of a relaxed Pa2Co3Ge4Au crystal.

Values from the calculation:
- Symmetry: P-4m2
- ΔH_f (0 K): -0.48 eV per atom
- Calculated volume: 167.1 Å³/f.u.
- N(E_F): 0.56 states/eV per atom
- Magnetic moment: 1.2 μB per formula unit

abc: 4.0990 4.0990 9.9445
angles: 90.00 90.00 90.00
With the nearest neighbours (Å) after each atom.
Element x y z (fractional)
Co (0.5000, 0.0000, 0.8785)  5 Ge 2.27-2.38
Co (0.0000, 0.0000, 0.5000)  4 Ge 2.53
Co (0.0000, 0.5000, 0.1215)  5 Ge 2.27-2.38
Ge (0.5000, 0.0000, 0.6498)  3 Co 2.27-2.53, 2 Au 2.53
Ge (0.5000, 0.5000, 0.0000)  4 Co 2.38
Ge (0.0000, 0.0000, 0.0000)  4 Co 2.38
Ge (0.0000, 0.5000, 0.3502)  3 Co 2.27-2.53, 2 Au 2.53
Au (0.5000, 0.5000, 0.5000)  4 Ge 2.53
Pa (0.0000, 0.5000, 0.7633)  8 Ge 3.11-3.12, 6 Co 3.12-3.32, 2 Au 3.32
Pa (0.5000, 0.0000, 0.2367)  8 Ge 3.11-3.12, 6 Co 3.12-3.32, 2 Au 3.32

---

No. 2
The following is a DFT calculation (PBE-GGA) of a relaxed CoSn2GeAu crystal.

Values from the calculation:
- Symmetry: P4/mmm
- ΔH_f (0 K): 0.83 eV per atom
- Calculated volume: 134.9 Å³/f.u.
- N(E_F): 1.24 states/eV per atom
- Magnetic moment: 1.9 μB per formula unit

abc: 5.2886 4.8227 5.2886
angles: 90.00 90.00 90.00
With the nearest neighbours (Å) after each atom.
Element x y z (fractional)
Ge (0.5000, 0.5000, 0.5000)  8 Sn 3.58, 4 Co 3.74
Au (0.0000, 0.0000, 0.0000)  2 Co 2.41, 4 Sn 2.64
Sn (0.5000, 0.0000, 0.0000)  2 Au 2.64
Sn (0.0000, 0.0000, 0.5000)  2 Au 2.64
Co (0.0000, 0.5000, 0.0000)  2 Au 2.41